This record from Alexandria via LeMat-Bulk describes an optimized crystal structure of Re2AgAs. The functional is PBE-GGA.

Values from the calculation:
- symmetry = Cmmm (65)

Cell: 2.981 4.836 8.946 Å, 90.00 90.00 90.00°
Positions (direct):
1 Re 0.000 0.000 0.223
2 Re 0.000 0.000 0.777
3 Re 0.500 0.500 0.223
4 Re 0.500 0.500 0.777
5 Ag 0.000 0.500 0.500
6 Ag 0.500 0.000 0.500
7 As 0.000 0.500 0.000
8 As 0.500 0.000 0.000



This record from Alexandria via LeMat-Bulk describes an optimized crystal structure of Re2AgAs. The functional is PBE-GGA.

Values from the calculation:
- symmetry = Pm (6)

Cell: 2.912 4.271 5.357 Å, 90.00 105.65 90.00°
Positions (direct):
1 Re 0.000 0.000 0.000
2 Re 0.403 0.500 0.805
3 Ag 0.660 0.500 0.319
4 As 0.279 0.000 0.556



The records above give, respectively, DFT total energy values of -7.3424, -7.5874 eV per atom.
The records above give, respectively, Fermi-level density of states values of 7.5, 2.4 states/eV per cell.
The records above give, respectively, calculated volume values of 129.0, 64.2 Å³ per cell.